## SrZr2Au (PBE)

Data for a relaxed SrZr2Au crystal.

Cell and atoms, written as CIF:
```
data_SrZr2Au
_chemical_formula_sum 'Sr1 Zr2 Au1'
_symmetry_space_group_name_H-M 'P m m 2'
_symmetry_Int_Tables_number 25
_symmetry_space_group_name_Hall 'P 2 -2'
_cell_length_a 3.417
_cell_length_b 3.432
_cell_length_c 8.921
_cell_angle_alpha 90.00
_cell_angle_beta 90.00
_cell_angle_gamma 90.00
loop_
_atom_site_label
_atom_site_fract_x
_atom_site_fract_y
_atom_site_fract_z
Sr1 0.000 0.000 0.000
Zr1 0.000 0.000 0.440
Zr2 0.500 0.500 0.660
Au1 0.500 0.500 0.257
```

Properties
- calculated formation energy (kJ/mol of atoms) = -18
- excess energy over the best structure of this formula in the dataset (meV per atom) = 0.0
- total DFT energy (no corrections) (eV per atom) = -5.705

=====

## Cs8K2Ag (PBE)

Data for a relaxed Cs8K2Ag crystal.

Cell and atoms, written as CIF:
```
data_Cs8K2Ag
_chemical_formula_sum 'Cs16 K4 Ag2'
_symmetry_space_group_name_H-M 'C 1 m 1'
_symmetry_Int_Tables_number 8
_symmetry_space_group_name_Hall 'C -2y'
_cell_length_a 12.592
_cell_length_b 23.759
_cell_length_c 8.534
_cell_angle_alpha 90.00
_cell_angle_beta 126.80
_cell_angle_gamma 90.00
loop_
_atom_site_label
_atom_site_fract_x
_atom_site_fract_y
_atom_site_fract_z
Cs1 0.000 0.000 0.000
Cs2 0.012 0.500 0.444
Cs3 0.103 0.108 0.578
Cs4 0.111 0.389 0.058
Cs5 0.325 0.302 0.765
K1 0.324 0.192 0.275
Ag1 0.330 0.500 0.452
```

Properties
- calculated formation energy (kJ/mol of atoms) = 2
- excess energy over the best structure of this formula in the dataset (meV per atom) = 0.0
- total DFT energy (no corrections) (eV per atom) = -1.058

=====

## La2Pr2Nd4Ho (PBE)

Data for a relaxed La2Pr2Nd4Ho crystal.

Cell and atoms, written as CIF:
```
data_La2Pr2Nd4Ho
_chemical_formula_sum 'La4 Pr4 Nd8 Ho2'
_symmetry_space_group_name_H-M 'C 1 2/m 1'
_symmetry_Int_Tables_number 12
_symmetry_space_group_name_Hall '-C 2y'
_cell_length_a 19.279
_cell_length_b 3.720
_cell_length_c 9.895
_cell_angle_alpha 90.00
_cell_angle_beta 115.56
_cell_angle_gamma 90.00
loop_
_atom_site_label
_atom_site_fract_x
_atom_site_fract_y
_atom_site_fract_z
La1 0.165 0.000 0.000
Pr1 0.147 0.500 0.667
Nd1 0.018 0.000 0.329
Nd2 0.185 0.500 0.333
Ho1 0.000 0.500 0.000
```

Properties
- calculated formation energy (kJ/mol of atoms) = 1
- total DFT energy (no corrections) (eV per atom) = -4.773

=====

## La2Ni (PBE)

Data for a relaxed La2Ni crystal.

Cell and atoms, written as CIF:
```
data_La2Ni
_chemical_formula_sum 'La6 Ni3'
_symmetry_space_group_name_H-M 'P -6 2 m'
_symmetry_Int_Tables_number 189
_symmetry_space_group_name_Hall 'P -6 -2'
_cell_length_a 7.4889
_cell_length_b 7.4889
_cell_length_c 5.0259
_cell_angle_alpha 90.00
_cell_angle_beta 90.00
_cell_angle_gamma 120.00
loop_
_atom_site_label
_atom_site_fract_x
_atom_site_fract_y
_atom_site_fract_z
La1 0.0000 0.2814 0.0000
La2 0.0000 0.6111 0.5000
Ni1 0.0000 0.0000 0.5000
Ni2 0.3333 0.6667 0.0000
```

Properties
- calculated formation energy (kJ/mol of atoms) = -17
- total DFT energy (no corrections) (eV per atom) = -5.392

=====

## CsNaP3 (PBE)

Data for a relaxed CsNaP3 crystal.

Cell and atoms, written as CIF:
```
data_CsNaP3
_chemical_formula_sum 'Cs1 Na1 P3'
_symmetry_space_group_name_H-M 'P m -3 m'
_symmetry_Int_Tables_number 221
_symmetry_space_group_name_Hall '-P 4 2 3'
_cell_length_a 5.651
_cell_length_b 5.651
_cell_length_c 5.651
_cell_angle_alpha 90.00
_cell_angle_beta 90.00
_cell_angle_gamma 90.00
loop_
_atom_site_label
_atom_site_fract_x
_atom_site_fract_y
_atom_site_fract_z
Cs1 0.000 0.000 0.000
Na1 0.500 0.500 0.500
P1 0.000 0.000 0.500
```

Properties
- calculated formation energy (kJ/mol of atoms) = 155
- excess energy over the best structure of this formula in the dataset (meV per atom) = 657.3
- total DFT energy (no corrections) (eV per atom) = -2.071

=====

## GaSnPt2Se (PBE)

Data for a relaxed GaSnPt2Se crystal.

Cell and atoms, written as CIF:
```
data_GaSnPt2Se
_chemical_formula_sum 'Ga1 Sn1 Pt2 Se1'
_symmetry_space_group_name_H-M 'P 4/m m m'
_symmetry_Int_Tables_number 123
_symmetry_space_group_name_Hall '-P 4 2'
_cell_length_a 4.734
_cell_length_b 4.734
_cell_length_c 5.054
_cell_angle_alpha 90.00
_cell_angle_beta 90.00
_cell_angle_gamma 90.00
loop_
_atom_site_label
_atom_site_fract_x
_atom_site_fract_y
_atom_site_fract_z
Ga1 0.000 0.000 0.000
Sn1 0.500 0.500 0.500
Pt1 0.000 0.500 0.000
Se1 0.000 0.000 0.500
```

Properties
- formation energy from raw total energies (eV/atom) = 0.294
- total DFT energy (no corrections) (eV per atom) = -4.225